[1]
DFT (meta-GGA SCAN) results for a crystal of CaCdAg relaxed with PBEsol.

The structure in POSCAR format:
```
CaCdAg
1.0
4.8102 0.0000 0.0000
-2.4051 4.1658 0.0000
0.0000 0.0000 3.5095
Ca Cd Ag
1 1 1
direct
0.0000 0.0000 0.0000 Ca
0.3333 0.6667 0.5000 Cd
0.6667 0.3333 0.5000 Ag
```

- space-group type = P-6m2

***

[2]
DFT (meta-GGA SCAN) results for a crystal of CoSb2RuPb relaxed with PBEsol.

The structure in POSCAR format:
```
CoSb2RuPb
1.0
4.7750 0.0000 0.0000
0.0000 4.7750 0.0000
0.0000 0.0000 4.7760
Co Sb Ru Pb
1 2 1 1
direct
0.0000 0.0000 0.0000 Co
0.0000 0.5000 0.0000 Sb
0.5000 0.0000 0.0000 Sb
0.0000 0.0000 0.5000 Ru
0.5000 0.5000 0.5000 Pb
```

- E_form (uncorrected) (kJ per mole of atoms) = 69.5
- space-group type = P4/mmm

***

Values for DFT total energy, eV/f.u., ordered as above
-72.418 -198.832